First-principles (PBE) data for SmGdTe after structural relaxation, as listed in Alexandria.

Computed properties:
- volume (Å³/cell) = 181.4
- size of the total moment (Bohr magnetons per cell) = 14.81
- E (eV for the cell shown) = -48.7

```
data_SmGdTe
_cell_length_a 3.931
_cell_length_b 3.931
_cell_length_c 11.739
_cell_angle_alpha 90.00
_cell_angle_beta 90.00
_cell_angle_gamma 90.00
_symmetry_space_group_name_H-M 'I 4 m m'
_symmetry_Int_Tables_number 107
_symmetry_space_group_name_Hall 'I 4 -2'
loop_
_atom_site_label
_atom_site_type_symbol
_atom_site_fract_x
_atom_site_fract_y
_atom_site_fract_z
_atom_site_occupancy
Sm1 Sm 0.000 0.000 0.000 1
Gd1 Gd 0.000 0.000 0.694 1
Te1 Te 0.000 0.000 0.345 1
```